# 1
Here is a relaxed structure of DyIrOs from the Alexandria database. Energies are from GGA-PBE.

Properties
For the energy of formation, the calculation gives -0.548 eV/atom.

a b c (Å): 5.1711 5.4465 7.7237
angles (deg): 90.00 90.00 90.00
Fractional positions:
Dy (0.0000, 0.2500, 0.1226)
Dy (0.0000, 0.7500, 0.8774)
Dy (0.5000, 0.2500, 0.3774)
Dy (0.5000, 0.7500, 0.6226)
Ir (0.0000, 0.0000, 0.5000)
Ir (0.0000, 0.5000, 0.5000)
Ir (0.5000, 0.0000, 0.0000)
Ir (0.5000, 0.5000, 0.0000)
Os (0.2500, 0.2500, 0.7500)
Os (0.2500, 0.7500, 0.2500)
Os (0.7500, 0.2500, 0.7500)
Os (0.7500, 0.7500, 0.2500)

# 2
Here is a relaxed structure of Dy2IrOs from the Alexandria database. Energies are from GGA-PBE.

Properties
For the energy of formation, the calculation gives 0.401 eV/atom.

a b c (Å): 3.1840 3.1840 28.7279
angles (deg): 90.00 90.00 120.00
Fractional positions:
Dy (0.0000, 0.0000, 0.0918)
Dy (0.0000, 0.0000, 0.9082)
Dy (0.3333, 0.6667, 0.5748)
Dy (0.3333, 0.6667, 0.7585)
Dy (0.6667, 0.3333, 0.2415)
Dy (0.6667, 0.3333, 0.4252)
Ir (0.0000, 0.0000, 0.0000)
Ir (0.3333, 0.6667, 0.6667)
Ir (0.6667, 0.3333, 0.3333)
Os (0.0000, 0.0000, 0.5000)
Os (0.3333, 0.6667, 0.1667)
Os (0.6667, 0.3333, 0.8333)

# 3
Here is a relaxed structure of Dy2IrOs from the Alexandria database. Energies are from GGA-PBE.

Properties
For the energy of formation, the calculation gives -0.451 eV/atom.

a b c (Å): 3.4142 3.4142 6.8152
angles (deg): 90.00 90.00 90.00
Fractional positions:
Dy (0.0000, 0.0000, 0.2460)
Dy (0.0000, 0.0000, 0.7540)
Ir (0.5000, 0.5000, 0.5000)
Os (0.5000, 0.5000, 0.0000)

# 4
Here is a relaxed structure of Dy8IrOs2 from the Alexandria database. Energies are from GGA-PBE.

Properties
For the energy of formation, the calculation gives -0.271 eV/atom.

a b c (Å): 7.5447 7.5447 5.8633
angles (deg): 100.55 100.55 112.37
Fractional positions:
Dy (0.0000, 0.0000, 0.0000)
Dy (0.0211, 0.2823, 0.6005)
Dy (0.1461, 0.5755, 0.1910)
Dy (0.2823, 0.0211, 0.6005)
Dy (0.4324, 0.6919, 0.7950)
Dy (0.5755, 0.1461, 0.1910)
Dy (0.6919, 0.4324, 0.7950)
Dy (0.7206, 0.7206, 0.3849)
Ir (0.3623, 0.3623, 0.0472)
Os (0.0447, 0.6674, 0.6951)
Os (0.6674, 0.0447, 0.6951)

# 5
Here is a relaxed structure of DyTmIrOs from the Alexandria database. Energies are from GGA-PBE.

Properties
For the energy of formation, the calculation gives -0.498 eV/atom.

a b c (Å): 6.7805 6.7805 6.7805
angles (deg): 90.00 90.00 90.00
Fractional positions:
Dy (0.0000, 0.0000, 0.0000)
Dy (0.0000, 0.5000, 0.5000)
Dy (0.5000, 0.0000, 0.5000)
Dy (0.5000, 0.5000, 0.0000)
Tm (0.0000, 0.0000, 0.5000)
Tm (0.0000, 0.5000, 0.0000)
Tm (0.5000, 0.0000, 0.0000)
Tm (0.5000, 0.5000, 0.5000)
Ir (0.2500, 0.2500, 0.2500)
Ir (0.2500, 0.7500, 0.7500)
Ir (0.7500, 0.2500, 0.7500)
Ir (0.7500, 0.7500, 0.2500)
Os (0.2500, 0.2500, 0.7500)
Os (0.2500, 0.7500, 0.2500)
Os (0.7500, 0.2500, 0.2500)
Os (0.7500, 0.7500, 0.7500)

# 6
Here is a relaxed structure of Dy3P5Ir6 from the Alexandria database. Energies are from GGA-PBE.

Properties
For the energy of formation, the calculation gives -0.966 eV/atom.

a b c (Å): 3.8441 12.2077 9.8446
angles (deg): 90.00 90.00 90.00
Fractional positions:
Dy (0.2500, 0.0974, 0.2394)
Dy (0.2500, 0.4026, 0.2394)
Dy (0.2500, 0.7500, 0.2699)
Dy (0.7500, 0.2500, 0.7301)
Dy (0.7500, 0.5974, 0.7606)
Dy (0.7500, 0.9026, 0.7606)
P (0.2500, 0.0791, 0.8392)
P (0.2500, 0.4209, 0.8392)
P (0.2500, 0.6314, 0.5353)
P (0.2500, 0.7500, 0.8784)
P (0.2500, 0.8686, 0.5353)
P (0.7500, 0.1314, 0.4647)
P (0.7500, 0.2500, 0.1216)
P (0.7500, 0.3686, 0.4647)
P (0.7500, 0.5791, 0.1608)
P (0.7500, 0.9209, 0.1608)
Ir (0.2500, 0.0509, 0.6064)
Ir (0.2500, 0.2500, 0.4798)
Ir (0.2500, 0.2500, 0.9798)
Ir (0.2500, 0.4491, 0.6064)
Ir (0.2500, 0.5824, 0.0247)
Ir (0.2500, 0.9176, 0.0247)
Ir (0.7500, 0.0824, 0.9753)
Ir (0.7500, 0.4176, 0.9753)
Ir (0.7500, 0.5509, 0.3936)
Ir (0.7500, 0.7500, 0.0202)
Ir (0.7500, 0.7500, 0.5202)
Ir (0.7500, 0.9491, 0.3936)

# 7
Here is a relaxed structure of DyP3Ir6 from the Alexandria database. Energies are from GGA-PBE.

Properties
For the energy of formation, the calculation gives -0.515 eV/atom.

a b c (Å): 5.4959 5.5417 6.5141
angles (deg): 66.95 70.62 61.35
Fractional positions:
Dy (0.0000, 0.0000, 0.0000)
P (0.1825, 0.3636, 0.1349)
P (0.5817, 0.7085, 0.1379)
P (0.7948, 0.9252, 0.4902)
Ir (0.0611, 0.5410, 0.7806)
Ir (0.2397, 0.9347, 0.4161)
Ir (0.4088, 0.3628, 0.3909)
Ir (0.5227, 0.5374, 0.8837)
Ir (0.5597, 0.0645, 0.8116)
Ir (0.8134, 0.5297, 0.4369)

# 8
Here is a relaxed structure of Dy2P3Ir5 from the Alexandria database. Energies are from GGA-PBE.

Properties
For the energy of formation, the calculation gives -0.768 eV/atom.

a b c (Å): 12.6024 12.6024 6.6424
angles (deg): 90.00 90.00 161.83
Fractional positions:
Dy (0.0260, 0.9740, 0.5000)
Dy (0.3239, 0.6761, 0.4807)
Dy (0.6761, 0.3239, 0.9807)
Dy (0.9740, 0.0260, 0.0000)
P (0.1104, 0.8896, 0.7729)
P (0.2875, 0.7125, 0.9034)
P (0.4594, 0.5406, 0.6955)
P (0.5406, 0.4594, 0.1955)
P (0.7125, 0.2875, 0.4034)
P (0.8896, 0.1104, 0.2729)
Ir (0.0889, 0.9111, 0.1217)
Ir (0.1863, 0.8137, 0.5853)
Ir (0.2386, 0.7614, 0.2189)
Ir (0.3846, 0.6154, 0.9111)
Ir (0.4411, 0.5589, 0.3252)
Ir (0.5589, 0.4411, 0.8252)
Ir (0.6154, 0.3846, 0.4111)
Ir (0.7614, 0.2386, 0.7189)
Ir (0.8137, 0.1863, 0.0853)
Ir (0.9111, 0.0889, 0.6217)

Number 1: magnetic moment 0.000 Bohr magnetons per cell. Number 2: magnetic moment 0.000 Bohr magnetons per cell. Number 3: magnetic moment 0.000 Bohr magnetons per cell. Number 4: magnetic moment 0.000 Bohr magnetons per cell. Number 5: magnetic moment 0.000 Bohr magnetons per cell. Number 6: magnetic moment 0.000 Bohr magnetons per cell. Number 7: magnetic moment 0.000 Bohr magnetons per cell. Number 8: magnetic moment 0.000 Bohr magnetons per cell.